The following is a DFT calculation (GGA-PBEsol) of Cr2CoW after structural relaxation.

Lattice parameters (Å, degrees): 2.603 4.487 4.487 110.47 90.00 90.00
Fractional positions:
1 W 0.500 0.000 0.000
2 Cr 0.000 0.000 0.500
3 Cr 0.000 0.500 0.000
4 Co 0.500 0.500 0.500

Its crystal system is orthorhombic. The value obtained for the density of states at the Fermi level is 4.76 states/eV/cell. For the formation energy, the calculation gives 1.39 eV/f.u. Its space group is No. 65.

***

The following is a DFT calculation (GGA-PBEsol) of CrCo2W after structural relaxation.

Lattice parameters (Å, degrees): 3.587 3.587 4.401 114.05 114.05 90.00
Fractional positions:
1 Cr 0.500 0.500 0.000
2 Co 0.750 0.250 0.500
3 Co 0.250 0.750 0.500
4 W 0.000 0.000 0.000

Its crystal system is tetragonal. The value obtained for the density of states at the Fermi level is 2.68 states/eV/cell. For the formation energy, the calculation gives 0.02 eV/f.u. Its space group is No. 139.

***

The following is a DFT calculation (GGA-PBEsol) of CrCoW2 after structural relaxation.

Lattice parameters (Å, degrees): 3.060 3.060 5.718 90.00 90.00 90.00
Fractional positions:
1 Cr 0.500 0.500 0.743
2 W 0.000 0.000 0.983
3 W 0.500 0.500 0.271
4 Co 0.000 0.000 0.503

The relative energy among the computed polymorphs comes out at 0.00 kcal/mol of atoms. Its crystal system is tetragonal. The value obtained for the density of states at the Fermi level is 4.55 states/eV/cell. For the formation energy, the calculation gives 0.83 eV/f.u. Its space group is No. 99.